Record 1
The following is a PBE-GGA calculation of a relaxed Mn2ReP crystal, from the Alexandria database.

```
data_Mn2ReP
_space_group_name_H-M_alt 'P 4/m m m'
_space_group_IT_number 123
_space_group_name_Hall '-P 4 2'
_cell_length_a 2.730
_cell_length_b 2.730
_cell_length_c 6.288
_cell_angle_alpha 90.00
_cell_angle_beta 90.00
_cell_angle_gamma 90.00
loop_
_atom_site_label
_atom_site_type_symbol
_atom_site_fract_x
_atom_site_fract_y
_atom_site_fract_z
_atom_site_occupancy
Mn1 Mn 0.000 0.000 0.212 1
Re1 Re 0.500 0.500 0.500 1
P1 P 0.500 0.500 0.000 1
```

## Properties
As for the total magnetization: 0.01 Bohr magnetons per cell. The calculation puts the total energy at -9.244 eV/atom. The calculation puts the formation energy at -0.195 eV per atom.



Record 2
The following is a PBE-GGA calculation of a relaxed Mn2ReP crystal, from the Alexandria database.

```
data_Mn2ReP
_space_group_name_H-M_alt 'R -3 m'
_space_group_IT_number 166
_space_group_name_Hall '-R 3 2"'
_cell_length_a 2.6844
_cell_length_b 2.6844
_cell_length_c 23.3886
_cell_angle_alpha 90.00
_cell_angle_beta 90.00
_cell_angle_gamma 120.00
loop_
_atom_site_label
_atom_site_type_symbol
_atom_site_fract_x
_atom_site_fract_y
_atom_site_fract_z
_atom_site_occupancy
Mn1 Mn 0.0000 0.0000 0.2427 1
Re1 Re 0.0000 0.0000 0.0000 1
P1 P 0.0000 0.0000 0.5000 1
```

## Properties
As for the total magnetization: 1.25 Bohr magnetons per cell. The calculation puts the total energy at -9.080 eV/atom. The calculation puts the formation energy at -0.030 eV per atom.



Record 3
The following is a PBE-GGA calculation of a relaxed Mn2ReP crystal, from the Alexandria database.

```
data_Mn2ReP
_space_group_name_H-M_alt 'C 1 m 1'
_space_group_IT_number 8
_cell_length_a 8.374
_cell_length_b 2.961
_cell_length_c 4.354
_cell_angle_alpha 90.00
_cell_angle_beta 106.24
_cell_angle_gamma 90.00
loop_
_space_group_symop_operation_xyz
'x,y,z'
'x,-y,z'
'x+1/2,y+1/2,z'
'x+1/2,-y+1/2,z'
loop_
_atom_site_label
_atom_site_type_symbol
_atom_site_fract_x
_atom_site_fract_y
_atom_site_fract_z
_atom_site_occupancy
Mn1 Mn 0.000 0.000 0.000 1
Mn2 Mn 0.239 0.500 0.129 1
Re1 Re 0.219 0.000 0.613 1
P1 P 0.486 0.000 0.485 1
```

## Properties
As for the total magnetization: 0.08 Bohr magnetons per cell. The calculation puts the total energy at -9.173 eV/atom. The calculation puts the formation energy at -0.124 eV per atom.